A plane-wave DFT calculation with meta-GGA SCAN was carried out for MgNiW at its PBEsol-relaxed geometry.

Computed properties:
Formation enthalpy at 0 K, eV per atom: 0.348
Space group: No. 156

Unit cell a=2.7604 b=2.7604 c=6.7024 alpha=90.00 beta=90.00 gamma=120.00
Closest atoms and distances in Å follow each position.
Element x y z (fractional)
Mg (0.0000, 0.0000, 0.0000)  3 Ni 2.68, 6 Mg 2.76, 3 W 3.00
Ni (0.6667, 0.3333, 0.6777)  3 W 2.56, 3 Mg 2.68, 6 Ni 2.76
W (0.3333, 0.6667, 0.3790)  3 Ni 2.56, 6 W 2.76